## Na5InS4 (meta-GGA SCAN)

Data for a crystal of Na5InS4 relaxed with PBEsol.

The calculation puts the energy relative to the elements, uncorrected at -1.21 eV per atom. The value obtained for the mass density is 2.61 Mg/m³. The energy is -210.1 eV per cell. For the magnetic moment, the calculation gives 0.000 μB/atom. For the density of states at the Fermi level, the calculation gives 0.00 states/eV/f.u.

The structure belongs to space group P2_1/m (No. 11); the cell edges are 6.6576, 8.7733 and 7.8075 Å and the angles 90.00°, 91.04° and 90.00°. The inequivalent atoms are Na at (0.0000, 0.0000, 0.0000), Na at (0.0263, 0.2500, 0.4747), Na at (0.3280, 0.2500, 0.8393), Na at (0.3405, 0.5198, 0.3345), In at (0.3590, 0.7500, 0.8238), S at (0.2297, 0.5192, 0.6719), S at (0.2367, 0.7500, 0.1206) and S at (0.2686, 0.2500, 0.1787).